1.
Density functional theory data (GGA-PBE) for a geometry-optimized KCu2RuCl8 structure.

Cell and atoms, written as POSCAR:
```
KCu2RuCl8
1.0
6.061 0.778 0.780
0.797 6.070 0.811
1.135 1.158 8.483
K Cl Cu Ru
1 8 2 1
direct
0.000 0.000 0.500
0.821 0.268 0.792
0.249 0.246 0.965
0.267 0.818 0.796
0.179 0.732 0.208
0.733 0.182 0.204
0.656 0.668 0.488
0.344 0.332 0.512
0.751 0.754 0.035
0.559 0.557 0.281
0.441 0.443 0.719
0.000 0.000 0.000
```

Calculated values
Total magnetic moment ... 3.06 μB/f.u.
Energy ... -41.9 eV for the cell shown
Crystal system ... triclinic

2.
Density functional theory data (GGA-PBE) for a geometry-optimized ScCuW2 structure.

Cell and atoms, written as POSCAR:
```
ScCuW2
1.0
3.262 0.000 0.000
0.000 3.262 0.000
0.000 0.000 6.223
Sc W Cu
1 2 1
direct
0.500 0.500 0.742
0.000 0.000 0.028
0.500 0.500 0.243
0.000 0.000 0.488
```

Calculated values
Total magnetic moment ... 0.00 μB/f.u.
Energy ... -35.7 eV for the cell shown
Crystal system ... tetragonal
Energy of formation ... 0.16 eV/atom

3.
Density functional theory data (GGA-PBE) for a geometry-optimized MnHg3S structure.

Cell and atoms, written as POSCAR:
```
MnHg3S
1.0
-3.110 3.665 -1.612
-0.369 -2.295 -4.505
-3.986 -2.646 1.675
Hg S Mn
3 1 1
direct
0.000 0.000 0.500
0.000 0.500 0.000
0.500 0.000 0.000
0.500 0.500 0.500
0.000 0.000 0.000
```

Calculated values
Total magnetic moment ... 0.00 μB/f.u.
Energy ... -9.1 eV for the cell shown
Crystal system ... cubic

4.
Density functional theory data (GGA-PBE) for a geometry-optimized NaCuBi structure.

Cell and atoms, written as POSCAR:
```
NaCuBi
1.0
3.825 0.000 0.000
0.000 3.825 0.000
-1.912 -1.912 5.300
Cu Na Bi
1 1 1
direct
0.284 0.284 0.568
0.004 0.004 0.008
0.712 0.712 0.423
```

Calculated values
Total magnetic moment ... 0.00 μB/f.u.
Energy ... -9.1 eV for the cell shown
Crystal system ... tetragonal
Energy of formation ... 0.07 eV/atom

5.
Density functional theory data (GGA-PBE) for a geometry-optimized NiPtW structure.

Cell and atoms, written as POSCAR:
```
NiPtW
1.0
5.912 -0.002 0.002
5.270 2.681 0.030
0.642 0.127 2.680
W Ni Pt
1 1 1
direct
0.341 0.341 0.659
0.995 0.995 0.005
0.664 0.664 0.336
```

Calculated values
Total magnetic moment ... 0.00 μB/f.u.
Energy ... -25.3 eV for the cell shown
Crystal system ... tetragonal
Energy of formation ... -0.17 eV/atom

6.
Density functional theory data (GGA-PBE) for a geometry-optimized FeH2Cl structure.

Cell and atoms, written as POSCAR:
```
FeH2Cl
1.0
0.000 2.688 2.688
2.688 0.000 2.688
2.688 2.688 0.000
H Cl Fe
2 1 1
direct
0.250 0.250 0.250
0.750 0.750 0.750
0.000 0.000 0.000
0.500 0.500 0.500
```

Calculated values
Total magnetic moment ... 2.46 μB/f.u.
Energy ... -12.8 eV for the cell shown
Crystal system ... cubic

7.
Density functional theory data (GGA-PBE) for a geometry-optimized Hf2Pd structure.

Cell and atoms, written as POSCAR:
```
Hf2Pd
1.0
-2.164 -5.125 2.048
-2.242 -4.844 -2.578
4.323 4.053 0.172
Hf Pd
2 1
direct
0.658 0.658 0.000
0.342 0.342 0.000
0.000 0.000 0.000
```

Calculated values
Total magnetic moment ... 0.00 μB/f.u.
Energy ... -26.7 eV for the cell shown
Crystal system ... tetragonal
Energy of formation ... -0.53 eV/atom

8.
Density functional theory data (GGA-PBE) for a geometry-optimized Cd2In2Cu structure.

Cell and atoms, written as POSCAR:
```
Cd2In2Cu
1.0
3.894 0.000 0.000
0.000 3.894 0.000
1.947 1.947 8.334
Cd Cu In
2 1 2
direct
0.250 0.750 0.500
0.750 0.250 0.500
0.000 0.000 0.000
0.589 0.589 0.823
0.411 0.411 0.177
```

Calculated values
Total magnetic moment ... 0.00 μB/f.u.
Energy ... -9.8 eV for the cell shown
Crystal system ... tetragonal
Energy of formation ... 0.32 eV/atom

What did the first record say?
Density functional theory data (GGA-PBE) for a geometry-optimized KCu2RuCl8 structure.

Cell and atoms, written as POSCAR:
```
KCu2RuCl8
1.0
6.061 0.778 0.780
0.797 6.070 0.811
1.135 1.158 8.483
K Cl Cu Ru
1 8 2 1
direct
0.000 0.000 0.500
0.821 0.268 0.792
0.249 0.246 0.965
0.267 0.818 0.796
0.179 0.732 0.208
0.733 0.182 0.204
0.656 0.668 0.488
0.344 0.332 0.512
0.751 0.754 0.035
0.559 0.557 0.281
0.441 0.443 0.719
0.000 0.000 0.000
```

Calculated values
Total magnetic moment ... 3.06 μB/f.u.
Energy ... -41.9 eV for the cell shown
Crystal system ... triclinic